(1)
A relaxed structure of Pm3Sb2As. Source: the Alexandria database, functional PBE.

a = 4.390 Å, b = 6.246 Å, c = 7.655 Å
α = 114.08°, β = 106.66°, γ = 90.00°
Sites, in units of the cell vectors:
1 Pm 0.500 0.000 0.500
2 Pm 0.844 0.344 0.187
3 Pm 0.156 0.656 0.813
4 Sb 0.170 0.170 0.840
5 Sb 0.830 0.830 0.160
6 As 0.500 0.500 0.500

Output
**Crystal system**: orthorhombic
**Space-group type**: Immm
**ΔE to the lowest computed polymorph**: 6 meV/atom
**Energy relative to the elements, uncorrected**: -740.5 kJ/mol of formula units


(2)
A relaxed structure of Pm4Sb2As. Source: the Alexandria database, functional PBE.

a = 5.377 Å, b = 5.377 Å, c = 9.008 Å
α = 107.37°, β = 107.37°, γ = 90.00°
Sites, in units of the cell vectors:
1 Pm 0.174 0.174 0.347
2 Pm 0.826 0.826 0.653
3 Pm 0.000 0.500 0.000
4 Pm 0.500 0.000 0.000
5 As 0.000 0.000 0.000
6 Sb 0.367 0.367 0.734
7 Sb 0.633 0.633 0.266

Output
**Crystal system**: tetragonal
**Space-group type**: I4/mmm
**Energy relative to the elements, uncorrected**: -506.2 kJ/mol of formula units


(3)
A relaxed structure of PmSbAs2. Source: the Alexandria database, functional PBE.

a = 4.405 Å, b = 4.405 Å, c = 8.529 Å
α = 75.03°, β = 75.03°, γ = 60.00°
Sites, in units of the cell vectors:
1 As 0.106 0.106 0.683
2 As 0.894 0.894 0.317
3 Pm 0.500 0.500 0.500
4 Sb 0.000 0.000 0.000

Output
**Crystal system**: trigonal
**Space-group type**: R-3m
**ΔE to the lowest computed polymorph**: 409 meV/atom
**Energy relative to the elements, uncorrected**: -52.9 kJ/mol of formula units


(4)
A relaxed structure of Pm4SbAs3. Source: the Alexandria database, functional PBE.

a = 6.090 Å, b = 6.090 Å, c = 6.090 Å
α = 90.00°, β = 90.00°, γ = 90.00°
Sites, in units of the cell vectors:
1 Pm 0.000 0.500 0.000
2 Pm 0.000 0.000 0.500
3 Pm 0.500 0.000 0.000
4 Pm 0.500 0.500 0.500
5 Sb 0.000 0.000 0.000
6 As 0.500 0.000 0.500
7 As 0.500 0.500 0.000
8 As 0.000 0.500 0.500

Output
**Crystal system**: cubic
**Space-group type**: Pm-3m
**Energy relative to the elements, uncorrected**: -1086.2 kJ/mol of formula units


(5)
A relaxed structure of PmSbAs. Source: the Alexandria database, functional PBE.

a = 4.443 Å, b = 4.443 Å, c = 8.281 Å
α = 90.02°, β = 90.02°, γ = 92.59°
Sites, in units of the cell vectors:
1 Pm 0.750 0.750 0.668
2 Pm 0.250 0.250 0.332
3 As 0.750 0.750 0.313
4 As 0.250 0.250 0.687
5 Sb 0.500 0.000 0.000
6 Sb 0.000 0.500 0.000

Output
**Crystal system**: orthorhombic
**Space-group type**: Cmme
**ΔE to the lowest computed polymorph**: 0 meV/atom
**Energy relative to the elements, uncorrected**: -231.0 kJ/mol of formula units


(6)
A relaxed structure of PmSbAs. Source: the Alexandria database, functional PBE.

a = 5.221 Å, b = 5.221 Å, c = 8.002 Å
α = 70.96°, β = 70.96°, γ = 60.00°
Sites, in units of the cell vectors:
1 As 0.722 0.722 0.833
2 As 0.278 0.278 0.167
3 Sb 0.157 0.157 0.528
4 Sb 0.843 0.843 0.472
5 Pm 0.410 0.410 0.770
6 Pm 0.590 0.590 0.230

Output
**Crystal system**: trigonal
**Space-group type**: R-3m
**ΔE to the lowest computed polymorph**: 157 meV/atom
**Energy relative to the elements, uncorrected**: -185.5 kJ/mol of formula units


| no. | density of states at the Fermi level (states/eV/f.u.) |
| --- | --- |
| 1 | 1.2 |
| 2 | 6.2 |
| 3 | 1.8 |
| 4 | 0.6 |
| 5 | 0.8 |
| 6 | 1.0 |